Here is a geometry-optimized Ga2Ni4Pd structure from the Alexandria database. Energies are from PBE-GGA.

Results
- Formation enthalpy at 0 K: -0.196 eV/atom
- SG: Immm (71)
- Polymorph energy (0 for the lowest one): 0.0261 eV per atom

Geometry as POSCAR:
```
Ga2Ni4Pd
1.0
-1.3212 1.9328 8.7337
1.3212 -1.9328 8.7337
1.3212 1.9328 -8.7337
Ga Ni Pd
2 4 1
direct
0.0952 0.0952 0.0000
0.9048 0.9048 0.0000
0.2308 0.7308 0.5000
0.3524 0.3524 0.0000
0.6476 0.6476 0.0000
0.7692 0.2692 0.5000
0.5000 0.5000 0.0000
```